First-principles (GGA-PBE) data for an optimized crystal structure of CePm3Sb3, as listed in Alexandria via LeMat-Bulk.

Lattice parameters (Å, degrees): 5.877 9.251 9.251 120.00 90.00 90.00
Site moments in Bohr magnetons follow the coordinates.
Element x y z (fractional)
Ce (0.250, 0.667, 0.333)  1.09
Ce (0.750, 0.333, 0.667)  1.09
Pm (0.250, 0.757, 0.744)  0.10
Pm (0.250, 0.256, 0.014)  0.10
Pm (0.250, 0.986, 0.243)  0.10
Pm (0.750, 0.243, 0.256)  0.10
Pm (0.750, 0.744, 0.986)  0.10
Pm (0.750, 0.014, 0.757)  0.10
Sb (0.750, 0.631, 0.576)  -0.02
Sb (0.750, 0.424, 0.056)  -0.02
Sb (0.750, 0.944, 0.369)  -0.02
Sb (0.250, 0.369, 0.424)  -0.02
Sb (0.250, 0.576, 0.944)  -0.02
Sb (0.250, 0.056, 0.631)  -0.02

Properties
- VASP energy: -38.00 eV per formula unit
- E above lowest polymorph: 241 meV per atom
- Formation energy without anion corrections: -0.78 eV/atom
- Symmetry: No. 176
- N(E_F): 20.46 states/eV/cell
- Theoretical density: 7.17 g/cm³

---

First-principles (GGA-PBE) data for an optimized crystal structure of CePmSb, as listed in Alexandria via LeMat-Bulk.

Lattice parameters (Å, degrees): 4.163 4.163 5.809 111.00 111.00 90.00
Site moments in Bohr magnetons follow the coordinates.
Element x y z (fractional)
Sb (0.286, 0.286, 0.571)  -0.01
Ce (0.634, 0.634, 0.268)  0.75
Pm (0.931, 0.931, 0.861)  0.06

Properties
- VASP energy: -16.63 eV per formula unit
- E above lowest polymorph: 267 meV per atom
- Formation energy without anion corrections: -0.61 eV/atom
- Symmetry: No. 107
- N(E_F): 7.89 states/eV/cell
- Theoretical density: 7.79 g/cm³

---

First-principles (GGA-PBE) data for an optimized crystal structure of CePm2Sb, as listed in Alexandria via LeMat-Bulk.

Lattice parameters (Å, degrees): 5.460 5.460 5.460 60.00 60.00 60.00
Site moments in Bohr magnetons follow the coordinates.
Element x y z (fractional)
Sb (0.000, 0.000, 0.000)  -0.02
Ce (0.500, 0.500, 0.500)  0.88
Pm (0.250, 0.250, 0.250)  0.08
Pm (0.750, 0.750, 0.750)  0.08

Properties
- VASP energy: -20.63 eV per formula unit
- E above lowest polymorph: 251 meV per atom
- Formation energy without anion corrections: -0.27 eV/atom
- Symmetry: No. 225
- N(E_F): 9.11 states/eV/cell
- Theoretical density: 7.96 g/cm³

---

First-principles (GGA-PBE) data for an optimized crystal structure of CePm5Sb6, as listed in Alexandria via LeMat-Bulk.

Lattice parameters (Å, degrees): 7.781 7.781 7.787 99.59 99.59 119.99
Site moments in Bohr magnetons follow the coordinates.
Element x y z (fractional)
Sb (0.415, 0.083, 0.249)  -0.01
Sb (0.917, 0.585, 0.751)  -0.01
Sb (0.249, 0.249, 0.751)  -0.01
Sb (0.751, 0.751, 0.249)  -0.01
Sb (0.083, 0.415, 0.249)  -0.01
Sb (0.585, 0.917, 0.751)  -0.01
Ce (0.000, 0.000, 0.000)  0.66
Pm (0.833, 0.167, 0.500)  0.00
Pm (0.666, 0.334, 0.000)  0.00
Pm (0.500, 0.500, 0.500)  0.00
Pm (0.334, 0.666, 0.000)  0.00
Pm (0.167, 0.833, 0.500)  0.00

Properties
- VASP energy: -68.44 eV per formula unit
- Formation energy without anion corrections: -1.17 eV/atom
- Symmetry: No. 12
- N(E_F): 6.58 states/eV/cell
- Theoretical density: 6.88 g/cm³